Entry 1:
# HoUHg GGA-PBE relaxed
data_HoUHg
_cell_length_a 7.0901
_cell_length_b 7.0901
_cell_length_c 7.0901
_cell_angle_alpha 90.00
_cell_angle_beta 90.00
_cell_angle_gamma 90.00
_space_group_name_H-M_alt 'F -4 3 m'
_space_group_IT_number 216
_space_group_name_Hall 'F -4 2 3'
loop_
_atom_site_label
_atom_site_type_symbol
_atom_site_fract_x
_atom_site_fract_y
_atom_site_fract_z
Ho1 Ho 0.0000 0.0000 0.0000
U1 U 0.2500 0.2500 0.7500
Hg1 Hg 0.0000 0.0000 0.5000
# Spin magnetization (μB/f.u.): 3.3
# Energy of formation from the pure elements (eV per atom): 0.924



Entry 2:
# HoHgW GGA-PBE relaxed
data_HoHgW
_cell_length_a 6.7622
_cell_length_b 6.7622
_cell_length_c 6.7622
_cell_angle_alpha 90.00
_cell_angle_beta 90.00
_cell_angle_gamma 90.00
_space_group_name_H-M_alt 'F -4 3 m'
_space_group_IT_number 216
_space_group_name_Hall 'F -4 2 3'
loop_
_atom_site_label
_atom_site_type_symbol
_atom_site_fract_x
_atom_site_fract_y
_atom_site_fract_z
Ho1 Ho 0.0000 0.0000 0.0000
Hg1 Hg 0.0000 0.0000 0.5000
W1 W 0.2500 0.2500 0.7500
# Spin magnetization (μB/f.u.): 3.0
# Energy of formation from the pure elements (eV per atom): 1.052



Entry 3:
# Y4HoHg5 GGA-PBE relaxed
data_Y4HoHg5
_cell_length_a 3.7092
_cell_length_b 3.7092
_cell_length_c 18.5729
_cell_angle_alpha 90.00
_cell_angle_beta 90.00
_cell_angle_gamma 90.00
_space_group_name_H-M_alt 'P 4/m m m'
_space_group_IT_number 123
_space_group_name_Hall '-P 4 2'
loop_
_atom_site_label
_atom_site_type_symbol
_atom_site_fract_x
_atom_site_fract_y
_atom_site_fract_z
Y1 Y 0.0000 0.0000 0.1003
Y2 Y 0.0000 0.0000 0.3009
Ho1 Ho 0.0000 0.0000 0.5000
Hg1 Hg 0.5000 0.5000 0.0000
Hg2 Hg 0.5000 0.5000 0.2005
Hg3 Hg 0.5000 0.5000 0.4017
# Spin magnetization (μB/f.u.): 0.0
# Energy of formation from the pure elements (eV per atom): -0.506



Entry 4:
# YHoHg GGA-PBE relaxed
data_YHoHg
_cell_length_a 7.0859
_cell_length_b 5.0756
_cell_length_c 9.1659
_cell_angle_alpha 90.00
_cell_angle_beta 90.00
_cell_angle_gamma 90.00
_space_group_name_H-M_alt 'P n m a'
_space_group_IT_number 62
_space_group_name_Hall '-P 2ac 2n'
loop_
_atom_site_label
_atom_site_type_symbol
_atom_site_fract_x
_atom_site_fract_y
_atom_site_fract_z
Y1 Y 0.0159 0.2500 0.1936
Ho1 Ho 0.1680 0.2500 0.5750
Hg1 Hg 0.2405 0.2500 0.8989
# Energy above the lowest structure with this stoichiometry (meV per atom): 0
# Spin magnetization (μB/f.u.): 0.0
# Energy of formation from the pure elements (eV per atom): -0.384



Entry 5:
# Y2HoHg GGA-PBE relaxed
data_Y2HoHg
_cell_length_a 6.8944
_cell_length_b 11.8659
_cell_length_c 5.4006
_cell_angle_alpha 90.00
_cell_angle_beta 90.00
_cell_angle_gamma 90.00
_space_group_name_H-M_alt 'C m c m'
_space_group_IT_number 63
_space_group_name_Hall '-C 2c 2'
loop_
_atom_site_label
_atom_site_type_symbol
_atom_site_fract_x
_atom_site_fract_y
_atom_site_fract_z
Y1 Y 0.2429 0.0881 0.2500
Ho1 Ho 0.0000 0.3283 0.2500
Hg1 Hg 0.0000 0.1666 0.7500
# Energy above the lowest structure with this stoichiometry (meV per atom): 31
# Spin magnetization (μB/f.u.): 0.0
# Energy of formation from the pure elements (eV per atom): -0.171



Entry 6:
# Y2HoHg GGA-PBE relaxed
data_Y2HoHg
_cell_length_a 5.1243
_cell_length_b 10.6457
_cell_length_c 8.3299
_cell_angle_alpha 90.00
_cell_angle_beta 90.00
_cell_angle_gamma 90.00
_space_group_name_H-M_alt 'A m a 2'
_space_group_IT_number 40
_space_group_name_Hall 'A 2 -2a'
loop_
_atom_site_label
_atom_site_type_symbol
_atom_site_fract_x
_atom_site_fract_y
_atom_site_fract_z
Y1 Y 0.2500 0.1108 0.0000
Y2 Y 0.2500 0.3867 0.2066
Ho1 Ho 0.2500 0.3875 0.7915
Hg1 Hg 0.2500 0.1780 0.4974
# Energy above the lowest structure with this stoichiometry (meV per atom): 0
# Spin magnetization (μB/f.u.): 0.0
# Energy of formation from the pure elements (eV per atom): -0.203



Entry 7:
# YHoHg4 GGA-PBE relaxed
data_YHoHg4
_cell_length_a 3.4003
_cell_length_b 4.9283
_cell_length_c 8.5358
_cell_angle_alpha 90.00
_cell_angle_beta 90.02
_cell_angle_gamma 90.00
_space_group_name_H-M_alt 'P 1 2/m 1'
_space_group_IT_number 10
_space_group_name_Hall '-P 2y'
loop_
_atom_site_label
_atom_site_type_symbol
_atom_site_fract_x
_atom_site_fract_y
_atom_site_fract_z
Y1 Y 0.0000 0.0000 0.0000
Ho1 Ho 0.0000 0.5000 0.5000
Hg1 Hg 0.4943 0.0000 0.6664
Hg2 Hg 0.4943 0.5000 0.1668
# Spin magnetization (μB/f.u.): 0.0
# Energy of formation from the pure elements (eV per atom): -0.389



Entry 8:
# YHo4Hg5 GGA-PBE relaxed
data_YHo4Hg5
_cell_length_a 3.6953
_cell_length_b 3.6953
_cell_length_c 18.5136
_cell_angle_alpha 90.00
_cell_angle_beta 90.00
_cell_angle_gamma 90.00
_space_group_name_H-M_alt 'P 4/m m m'
_space_group_IT_number 123
_space_group_name_Hall '-P 4 2'
loop_
_atom_site_label
_atom_site_type_symbol
_atom_site_fract_x
_atom_site_fract_y
_atom_site_fract_z
Y1 Y 0.0000 0.0000 0.0000
Ho1 Ho 0.0000 0.0000 0.2008
Ho2 Ho 0.0000 0.0000 0.4003
Hg1 Hg 0.5000 0.5000 0.1017
Hg2 Hg 0.5000 0.5000 0.3004
Hg3 Hg 0.5000 0.5000 0.5000
# Spin magnetization (μB/f.u.): 0.0
# Energy of formation from the pure elements (eV per atom): -0.489